SrGeRu2Au | PBE | relaxed

Summary:
Formation enthalpy at 0 K ... 1.317 eV per atom
Energy ... -4.3086 eV per atom
Calculated density ... 6.9 Mg/m³

a = 4.9640 Å, b = 4.9640 Å, c = 5.4424 Å
α = 90.00°, β = 90.00°, γ = 90.00°
Fractional positions:
Sr (0.0000, 0.0000, 0.0000)
Ge (0.5000, 0.5000, 0.0000)
Ru (0.0000, 0.5000, 0.5000)
Ru (0.5000, 0.0000, 0.5000)
Au (0.0000, 0.0000, 0.5000)



La4Eu2O | PBE | relaxed

Summary:
Energy ... -7.1082 eV per atom
Calculated density ... 6.0 Mg/m³

a = 5.1390 Å, b = 5.1390 Å, c = 18.3312 Å
α = 90.00°, β = 90.00°, γ = 90.00°
Fractional positions:
La (0.0000, 0.0000, 0.1339)
La (0.0000, 0.0000, 0.8661)
La (0.0000, 0.5000, 0.0000)
La (0.0000, 0.5000, 0.5000)
La (0.5000, 0.0000, 0.0000)
La (0.5000, 0.0000, 0.5000)
La (0.5000, 0.5000, 0.3661)
La (0.5000, 0.5000, 0.6339)
Eu (0.0000, 0.0000, 0.3364)
Eu (0.0000, 0.0000, 0.6636)
Eu (0.5000, 0.5000, 0.1636)
Eu (0.5000, 0.5000, 0.8364)
O (0.0000, 0.0000, 0.0000)
O (0.5000, 0.5000, 0.5000)



> What is the formula in the first record?

SrGeRu2Au



> The highest energy belongs to which entry?

SrGeRu2Au



> Among the records above, which one has the highest calculated density?

SrGeRu2Au